Record 1
# BiMoW2, relaxed, DFT PBE-GGA
data_BiMoW2
_chemical_formula_sum 'Bi1 Mo1 W2'
_cell_length_a 4.6600
_cell_length_b 4.6600
_cell_length_c 4.6600
_cell_angle_alpha 60.00
_cell_angle_beta 60.00
_cell_angle_gamma 60.00
_symmetry_space_group_name_H-M 'P 1'
_symmetry_Int_Tables_number 1
loop_
_symmetry_equiv_pos_as_xyz
'x,y,z'
loop_
_atom_site_label
_atom_site_type_symbol
_atom_site_fract_x
_atom_site_fract_y
_atom_site_fract_z
_atom_site_occupancy
Bi1 Bi 0.5000 0.5000 0.5000 1
Mo1 Mo 0.2500 0.2500 0.2500 1
W1 W 0.0000 0.0000 0.0000 1
W2 W 0.7500 0.7500 0.7500 1
# Energy   -37.51 eV for the cell shown
# Spin magnetization   0.00 Bohr magnetons per cell
# Mass density   15.61 g cm⁻³



Record 2
# Y2BiMo, relaxed, DFT PBE-GGA
data_Y2BiMo
_chemical_formula_sum 'Y2 Bi1 Mo1'
_cell_length_a 5.0986
_cell_length_b 5.0986
_cell_length_c 5.0986
_cell_angle_alpha 60.00
_cell_angle_beta 60.00
_cell_angle_gamma 60.00
_symmetry_space_group_name_H-M 'P 1'
_symmetry_Int_Tables_number 1
loop_
_symmetry_equiv_pos_as_xyz
'x,y,z'
loop_
_atom_site_label
_atom_site_type_symbol
_atom_site_fract_x
_atom_site_fract_y
_atom_site_fract_z
_atom_site_occupancy
Bi1 Bi 0.5000 0.5000 0.5000 1
Mo1 Mo 0.2500 0.2500 0.2500 1
Y1 Y 0.0000 0.0000 0.0000 1
Y2 Y 0.7500 0.7500 0.7500 1
# Energy   -27.01 eV for the cell shown
# Spin magnetization   0.95 Bohr magnetons per cell
# Mass density   8.55 g cm⁻³



Record 3
# YBiMo, relaxed, DFT PBE-GGA
data_YBiMo
_chemical_formula_sum 'Y1 Bi1 Mo1'
_cell_length_a 5.0391
_cell_length_b 5.0391
_cell_length_c 5.0391
_cell_angle_alpha 60.00
_cell_angle_beta 60.00
_cell_angle_gamma 60.00
_symmetry_space_group_name_H-M 'P 1'
_symmetry_Int_Tables_number 1
loop_
_symmetry_equiv_pos_as_xyz
'x,y,z'
loop_
_atom_site_label
_atom_site_type_symbol
_atom_site_fract_x
_atom_site_fract_y
_atom_site_fract_z
_atom_site_occupancy
Bi1 Bi 0.2500 0.2500 0.2500 1
Mo1 Mo 0.7500 0.7500 0.7500 1
Y1 Y 0.0000 0.0000 0.0000 1
# Energy   -18.46 eV for the cell shown
# Spin magnetization   3.60 Bohr magnetons per cell
# Mass density   7.23 g cm⁻³



Record 4
# ZnBi2Mo, relaxed, DFT PBE-GGA
data_ZnBi2Mo
_chemical_formula_sum 'Zn1 Bi2 Mo1'
_cell_length_a 5.1024
_cell_length_b 5.1024
_cell_length_c 5.1024
_cell_angle_alpha 60.00
_cell_angle_beta 60.00
_cell_angle_gamma 60.00
_symmetry_space_group_name_H-M 'P 1'
_symmetry_Int_Tables_number 1
loop_
_symmetry_equiv_pos_as_xyz
'x,y,z'
loop_
_atom_site_label
_atom_site_type_symbol
_atom_site_fract_x
_atom_site_fract_y
_atom_site_fract_z
_atom_site_occupancy
Bi1 Bi 0.2500 0.2500 0.2500 1
Bi2 Bi 0.5000 0.5000 0.5000 1
Mo1 Mo 0.7500 0.7500 0.7500 1
Zn1 Zn 0.0000 0.0000 0.0000 1
# Energy   -16.90 eV for the cell shown
# Spin magnetization   2.22 Bohr magnetons per cell
# Mass density   10.24 g cm⁻³



Record 5
# Zn2BiMo, relaxed, DFT PBE-GGA
data_Zn2BiMo
_chemical_formula_sum 'Zn2 Bi1 Mo1'
_cell_length_a 4.7289
_cell_length_b 4.7289
_cell_length_c 4.7289
_cell_angle_alpha 60.00
_cell_angle_beta 60.00
_cell_angle_gamma 60.00
_symmetry_space_group_name_H-M 'P 1'
_symmetry_Int_Tables_number 1
loop_
_symmetry_equiv_pos_as_xyz
'x,y,z'
loop_
_atom_site_label
_atom_site_type_symbol
_atom_site_fract_x
_atom_site_fract_y
_atom_site_fract_z
_atom_site_occupancy
Bi1 Bi 0.5000 0.5000 0.5000 1
Mo1 Mo 0.2500 0.2500 0.2500 1
Zn1 Zn 0.0000 0.0000 0.0000 1
Zn2 Zn 0.7500 0.7500 0.7500 1
# Energy   -14.71 eV for the cell shown
# Spin magnetization   0.02 Bohr magnetons per cell
# Mass density   9.68 g cm⁻³



Record 6
# Zr2BiMo, relaxed, DFT PBE-GGA
data_Zr2BiMo
_chemical_formula_sum 'Zr2 Bi1 Mo1'
_cell_length_a 4.9002
_cell_length_b 4.9002
_cell_length_c 4.9002
_cell_angle_alpha 60.00
_cell_angle_beta 60.00
_cell_angle_gamma 60.00
_symmetry_space_group_name_H-M 'P 1'
_symmetry_Int_Tables_number 1
loop_
_symmetry_equiv_pos_as_xyz
'x,y,z'
loop_
_atom_site_label
_atom_site_type_symbol
_atom_site_fract_x
_atom_site_fract_y
_atom_site_fract_z
_atom_site_occupancy
Bi1 Bi 0.5000 0.5000 0.5000 1
Mo1 Mo 0.2500 0.2500 0.2500 1
Zr1 Zr 0.0000 0.0000 0.0000 1
Zr2 Zr 0.7500 0.7500 0.7500 1
# Energy   -31.32 eV for the cell shown
# Spin magnetization   0.01 Bohr magnetons per cell
# Mass density   9.73 g cm⁻³